one.
Hg2BiPd2 | PBE | optimized geometry

```
data_Hg2BiPd2
_cell_length_a 4.6888
_cell_length_b 4.7569
_cell_length_c 9.9679
_cell_angle_alpha 90.00
_cell_angle_beta 90.08
_cell_angle_gamma 90.00
_symmetry_space_group_name_H-M 'P 1 21/m 1'
_symmetry_Int_Tables_number 11
loop_
_symmetry_equiv_pos_as_xyz
'x,y,z'
'-x,-y,-z'
'-x,y+1/2,-z'
'x,-y+1/2,z'
loop_
_atom_site_label
_atom_site_fract_x
_atom_site_fract_y
_atom_site_fract_z
Hg1 0.2489 0.2500 0.0048
Hg2 0.2496 0.2500 0.3208
Bi1 0.2514 0.2500 0.6728
Pd1 0.2489 0.7500 0.4971
Pd2 0.2508 0.7500 0.8354
```

two.
Hg2BiPd2 | PBE | optimized geometry

```
data_Hg2BiPd2
_cell_length_a 4.1578
_cell_length_b 4.1578
_cell_length_c 13.0134
_cell_angle_alpha 90.00
_cell_angle_beta 90.00
_cell_angle_gamma 90.00
_symmetry_space_group_name_H-M 'I 4/m m m'
_symmetry_Int_Tables_number 139
_symmetry_space_group_name_Hall '-I 4 2'
loop_
_atom_site_label
_atom_site_fract_x
_atom_site_fract_y
_atom_site_fract_z
Hg1 0.0000 0.0000 0.1113
Bi1 0.0000 0.0000 0.5000
Pd1 0.0000 0.5000 0.2500
```

three.
Hg2BiPd2 | PBE | optimized geometry

```
data_Hg2BiPd2
_cell_length_a 8.1658
_cell_length_b 8.1658
_cell_length_c 3.1337
_cell_angle_alpha 90.00
_cell_angle_beta 90.00
_cell_angle_gamma 90.00
_symmetry_space_group_name_H-M 'P 4/m b m'
_symmetry_Int_Tables_number 127
_symmetry_space_group_name_Hall '-P 4 2ab'
loop_
_atom_site_label
_atom_site_fract_x
_atom_site_fract_y
_atom_site_fract_z
Hg1 0.1291 0.3709 0.0000
Bi1 0.0000 0.0000 0.0000
Pd1 0.1680 0.6680 0.5000
```

four.
Hg2BiPd2 | PBE | optimized geometry

```
data_Hg2BiPd2
_cell_length_a 3.9777
_cell_length_b 3.9777
_cell_length_c 13.8418
_cell_angle_alpha 90.00
_cell_angle_beta 90.00
_cell_angle_gamma 90.00
_symmetry_space_group_name_H-M 'I 4/m m m'
_symmetry_Int_Tables_number 139
_symmetry_space_group_name_Hall '-I 4 2'
loop_
_atom_site_label
_atom_site_fract_x
_atom_site_fract_y
_atom_site_fract_z
Hg1 0.0000 0.5000 0.2500
Bi1 0.0000 0.0000 0.0000
Pd1 0.0000 0.0000 0.4027
```

Which of them is most stable, and which least? Most stable: one; least stable: two.

one.
RbHgBiPd2 | PBE | optimized geometry

```
data_RbHgBiPd2
_cell_length_a 6.7634
_cell_length_b 4.6860
_cell_length_c 10.3974
_cell_angle_alpha 90.00
_cell_angle_beta 104.51
_cell_angle_gamma 90.00
_symmetry_space_group_name_H-M 'P 1 21/m 1'
_symmetry_Int_Tables_number 11
loop_
_symmetry_equiv_pos_as_xyz
'x,y,z'
'-x,-y,-z'
'-x,y+1/2,-z'
'x,-y+1/2,z'
loop_
_atom_site_label
_atom_site_fract_x
_atom_site_fract_y
_atom_site_fract_z
Rb1 0.0696 0.2500 0.2387
Hg1 0.3905 0.7500 0.0625
Bi1 0.3100 0.7500 0.5334
Pd1 0.4489 0.7500 0.8071
Pd2 0.4640 0.2500 0.6555
```

two.
RbHgBiPd2 | PBE | optimized geometry

```
data_RbHgBiPd2
_cell_length_a 5.2074
_cell_length_b 5.2074
_cell_length_c 6.9825
_cell_angle_alpha 90.00
_cell_angle_beta 90.00
_cell_angle_gamma 90.00
_symmetry_space_group_name_H-M 'P 4/m m m'
_symmetry_Int_Tables_number 123
_symmetry_space_group_name_Hall '-P 4 2'
loop_
_atom_site_label
_atom_site_fract_x
_atom_site_fract_y
_atom_site_fract_z
Rb1 0.0000 0.0000 0.0000
Hg1 0.5000 0.5000 0.0000
Bi1 0.0000 0.0000 0.5000
Pd1 0.0000 0.5000 0.5000
```

Which of them is most stable, and which least? Most stable: one; least stable: two.

one.
PmHgBi | PBE | optimized geometry

```
data_PmHgBi
_cell_length_a 4.3368
_cell_length_b 4.3368
_cell_length_c 9.5773
_cell_angle_alpha 90.00
_cell_angle_beta 90.00
_cell_angle_gamma 90.00
_symmetry_space_group_name_H-M 'I 4 m m'
_symmetry_Int_Tables_number 107
_symmetry_space_group_name_Hall 'I 4 -2'
loop_
_atom_site_label
_atom_site_fract_x
_atom_site_fract_y
_atom_site_fract_z
Pm1 0.0000 0.0000 0.0000
Hg1 0.0000 0.0000 0.6753
Bi1 0.0000 0.0000 0.3476
```

two.
PmHgBi | PBE | optimized geometry

```
data_PmHgBi
_cell_length_a 4.5458
_cell_length_b 4.5458
_cell_length_c 8.8249
_cell_angle_alpha 90.00
_cell_angle_beta 90.00
_cell_angle_gamma 90.00
_symmetry_space_group_name_H-M 'P 4/n m m'
_symmetry_Int_Tables_number 129
loop_
_symmetry_equiv_pos_as_xyz
'x,y,z'
'-x,-y,-z'
'-y+1/2,x,z'
'y+1/2,-x,-z'
'-x+1/2,-y+1/2,z'
'x+1/2,y+1/2,-z'
'y,-x+1/2,z'
'-y,x+1/2,-z'
'x+1/2,-y,-z'
'-x+1/2,y,z'
'-y,-x,-z'
'y,x,z'
'-x,y+1/2,-z'
'x,-y+1/2,z'
'y+1/2,x+1/2,-z'
'-y+1/2,-x+1/2,z'
loop_
_atom_site_label
_atom_site_fract_x
_atom_site_fract_y
_atom_site_fract_z
Pm1 0.2500 0.2500 0.1905
Hg1 0.2500 0.7500 0.5000
Bi1 0.2500 0.2500 0.8251
```

three.
PmHgBi | PBE | optimized geometry

```
data_PmHgBi
_cell_length_a 4.8650
_cell_length_b 4.8650
_cell_length_c 4.4119
_cell_angle_alpha 90.00
_cell_angle_beta 90.00
_cell_angle_gamma 120.00
_symmetry_space_group_name_H-M 'P 3 m 1'
_symmetry_Int_Tables_number 156
loop_
_symmetry_equiv_pos_as_xyz
'x,y,z'
'-y,x-y,z'
'-x+y,-x,z'
'-y,-x,z'
'-x+y,y,z'
'x,x-y,z'
loop_
_atom_site_label
_atom_site_fract_x
_atom_site_fract_y
_atom_site_fract_z
Pm1 0.0000 0.0000 0.0000
Hg1 0.6667 0.3333 0.2827
Bi1 0.3333 0.6667 0.5838
```

four.
PmHgBi | PBE | optimized geometry

```
data_PmHgBi
_cell_length_a 7.4721
_cell_length_b 7.4721
_cell_length_c 7.4721
_cell_angle_alpha 90.00
_cell_angle_beta 90.00
_cell_angle_gamma 90.00
_symmetry_space_group_name_H-M 'F -4 3 m'
_symmetry_Int_Tables_number 216
_symmetry_space_group_name_Hall 'F -4 2 3'
loop_
_atom_site_label
_atom_site_fract_x
_atom_site_fract_y
_atom_site_fract_z
Pm1 0.0000 0.0000 0.0000
Hg1 0.2500 0.2500 0.2500
Bi1 0.2500 0.2500 0.7500
```

Which of them is most stable, and which least? Most stable: two; least stable: four.

one.
PmHgBi4 | PBE | optimized geometry

```
data_PmHgBi4
_cell_length_a 9.2472
_cell_length_b 9.2472
_cell_length_c 9.2472
_cell_angle_alpha 90.00
_cell_angle_beta 90.00
_cell_angle_gamma 90.00
_symmetry_space_group_name_H-M 'F -4 3 m'
_symmetry_Int_Tables_number 216
_symmetry_space_group_name_Hall 'F -4 2 3'
loop_
_atom_site_label
_atom_site_fract_x
_atom_site_fract_y
_atom_site_fract_z
Pm1 0.0000 0.0000 0.0000
Hg1 0.2500 0.2500 0.2500
Bi1 0.1239 0.1239 0.6239
```

two.
PmHgBi4 | PBE | optimized geometry

```
data_PmHgBi4
_cell_length_a 5.9003
_cell_length_b 6.6490
_cell_length_c 9.4916
_cell_angle_alpha 90.00
_cell_angle_beta 90.00
_cell_angle_gamma 90.00
_symmetry_space_group_name_H-M 'I m m m'
_symmetry_Int_Tables_number 71
_symmetry_space_group_name_Hall '-I 2 2'
loop_
_atom_site_label
_atom_site_fract_x
_atom_site_fract_y
_atom_site_fract_z
Pm1 0.0000 0.0000 0.0000
Hg1 0.0000 0.5000 0.0000
Bi1 0.0000 0.2625 0.3312
```

Which of them is most stable, and which least? Most stable: two; least stable: one.

one.
PrHgBi4 | PBE | optimized geometry

```
data_PrHgBi4
_cell_length_a 5.9123
_cell_length_b 6.6772
_cell_length_c 9.5436
_cell_angle_alpha 90.00
_cell_angle_beta 90.00
_cell_angle_gamma 90.00
_symmetry_space_group_name_H-M 'I m m m'
_symmetry_Int_Tables_number 71
_symmetry_space_group_name_Hall '-I 2 2'
loop_
_atom_site_label
_atom_site_fract_x
_atom_site_fract_y
_atom_site_fract_z
Pr1 0.0000 0.0000 0.0000
Hg1 0.0000 0.5000 0.0000
Bi1 0.0000 0.2633 0.3321
```

two.
PrHgBi4 | PBE | optimized geometry

```
data_PrHgBi4
_cell_length_a 9.2689
_cell_length_b 9.2689
_cell_length_c 9.2689
_cell_angle_alpha 90.00
_cell_angle_beta 90.00
_cell_angle_gamma 90.00
_symmetry_space_group_name_H-M 'F -4 3 m'
_symmetry_Int_Tables_number 216
_symmetry_space_group_name_Hall 'F -4 2 3'
loop_
_atom_site_label
_atom_site_fract_x
_atom_site_fract_y
_atom_site_fract_z
Pr1 0.0000 0.0000 0.0000
Hg1 0.2500 0.2500 0.2500
Bi1 0.1238 0.1238 0.6238
```

Which of them is most stable, and which least? Most stable: one; least stable: two.

one.
Pr2HgBi | PBE | optimized geometry

```
data_Pr2HgBi
_cell_length_a 7.7932
_cell_length_b 4.5085
_cell_length_c 8.1979
_cell_angle_alpha 90.00
_cell_angle_beta 108.59
_cell_angle_gamma 90.00
_symmetry_space_group_name_H-M 'C 1 2/m 1'
_symmetry_Int_Tables_number 12
loop_
_symmetry_equiv_pos_as_xyz
'x,y,z'
'-x,-y,-z'
'-x,y,-z'
'x,-y,z'
'x+1/2,y+1/2,z'
'-x+1/2,-y+1/2,-z'
'-x+1/2,y+1/2,-z'
'x+1/2,-y+1/2,z'
loop_
_atom_site_label
_atom_site_fract_x
_atom_site_fract_y
_atom_site_fract_z
Pr1 0.2486 0.0000 0.2449
Hg1 0.0000 0.0000 0.5000
Bi1 0.0000 0.5000 0.0000
```

two.
Pr2HgBi | PBE | optimized geometry

```
data_Pr2HgBi
_cell_length_a 4.3788
_cell_length_b 25.1764
_cell_length_c 4.8013
_cell_angle_alpha 90.00
_cell_angle_beta 90.00
_cell_angle_gamma 90.00
_symmetry_space_group_name_H-M 'C m c m'
_symmetry_Int_Tables_number 63
_symmetry_space_group_name_Hall '-C 2c 2'
loop_
_atom_site_label
_atom_site_fract_x
_atom_site_fract_y
_atom_site_fract_z
Pr1 0.0000 0.0623 0.2500
Pr2 0.0000 0.3179 0.2500
Hg1 0.0000 0.4571 0.2500
Bi1 0.0000 0.1886 0.2500
```

three.
Pr2HgBi | PBE | optimized geometry

```
data_Pr2HgBi
_cell_length_a 4.1254
_cell_length_b 4.1254
_cell_length_c 7.1368
_cell_angle_alpha 90.00
_cell_angle_beta 90.00
_cell_angle_gamma 90.00
_symmetry_space_group_name_H-M 'P 4/m m m'
_symmetry_Int_Tables_number 123
_symmetry_space_group_name_Hall '-P 4 2'
loop_
_atom_site_label
_atom_site_fract_x
_atom_site_fract_y
_atom_site_fract_z
Pr1 0.0000 0.0000 0.2505
Hg1 0.5000 0.5000 0.0000
Bi1 0.5000 0.5000 0.5000
```

Which of them is most stable, and which least? Most stable: two; least stable: one.

one.
Pr2HgBi | PBE | optimized geometry

```
data_Pr2HgBi
_cell_length_a 4.4025
_cell_length_b 4.4025
_cell_length_c 24.5453
_cell_angle_alpha 90.00
_cell_angle_beta 90.00
_cell_angle_gamma 120.00
_symmetry_space_group_name_H-M 'R 3 m'
_symmetry_Int_Tables_number 160
_symmetry_space_group_name_Hall 'R 3 -2"'
loop_
_atom_site_label
_atom_site_fract_x
_atom_site_fract_y
_atom_site_fract_z
Pr1 0.0000 0.0000 0.0000
Pr2 0.0000 0.0000 0.1734
Hg1 0.0000 0.0000 0.4190
Bi1 0.0000 0.0000 0.5873
```

two.
Pr2HgBi | PBE | optimized geometry

```
data_Pr2HgBi
_cell_length_a 7.8507
_cell_length_b 7.8507
_cell_length_c 7.8507
_cell_angle_alpha 90.00
_cell_angle_beta 90.00
_cell_angle_gamma 90.00
_symmetry_space_group_name_H-M 'F m -3 m'
_symmetry_Int_Tables_number 225
_symmetry_space_group_name_Hall '-F 4 2 3'
loop_
_atom_site_label
_atom_site_fract_x
_atom_site_fract_y
_atom_site_fract_z
Pr1 0.2500 0.2500 0.2500
Hg1 0.0000 0.0000 0.0000
Bi1 0.0000 0.0000 0.5000
```

Which of them is most stable, and which least? Most stable: two; least stable: one.

one.
PrHgBi | PBE | optimized geometry

```
data_PrHgBi
_cell_length_a 7.5569
_cell_length_b 7.5569
_cell_length_c 7.5569
_cell_angle_alpha 90.00
_cell_angle_beta 90.00
_cell_angle_gamma 90.00
_symmetry_space_group_name_H-M 'F -4 3 m'
_symmetry_Int_Tables_number 216
_symmetry_space_group_name_Hall 'F -4 2 3'
loop_
_atom_site_label
_atom_site_fract_x
_atom_site_fract_y
_atom_site_fract_z
Pr1 0.0000 0.0000 0.0000
Hg1 0.2500 0.2500 0.7500
Bi1 0.2500 0.2500 0.2500
```

two.
PrHgBi | PBE | optimized geometry

```
data_PrHgBi
_cell_length_a 4.3783
_cell_length_b 4.3783
_cell_length_c 9.6669
_cell_angle_alpha 90.00
_cell_angle_beta 90.00
_cell_angle_gamma 90.00
_symmetry_space_group_name_H-M 'I 4 m m'
_symmetry_Int_Tables_number 107
_symmetry_space_group_name_Hall 'I 4 -2'
loop_
_atom_site_label
_atom_site_fract_x
_atom_site_fract_y
_atom_site_fract_z
Pr1 0.0000 0.0000 0.0000
Hg1 0.0000 0.0000 0.6748
Bi1 0.0000 0.0000 0.3476
```

Which of them is most stable, and which least? Most stable: two; least stable: one.

one.
PrHgBi | PBE | optimized geometry

```
data_PrHgBi
_cell_length_a 4.9016
_cell_length_b 4.9016
_cell_length_c 4.4617
_cell_angle_alpha 90.00
_cell_angle_beta 90.00
_cell_angle_gamma 120.00
_symmetry_space_group_name_H-M 'P 3 m 1'
_symmetry_Int_Tables_number 156
loop_
_symmetry_equiv_pos_as_xyz
'x,y,z'
'-y,x-y,z'
'-x+y,-x,z'
'-y,-x,z'
'-x+y,y,z'
'x,x-y,z'
loop_
_atom_site_label
_atom_site_fract_x
_atom_site_fract_y
_atom_site_fract_z
Pr1 0.0000 0.0000 0.0000
Hg1 0.6667 0.3333 0.7084
Bi1 0.3333 0.6667 0.4195
```

two.
PrHgBi | PBE | optimized geometry

```
data_PrHgBi
_cell_length_a 6.5170
_cell_length_b 6.5177
_cell_length_c 8.8552
_cell_angle_alpha 90.00
_cell_angle_beta 90.35
_cell_angle_gamma 90.00
_symmetry_space_group_name_H-M 'C 1 2/m 1'
_symmetry_Int_Tables_number 12
loop_
_symmetry_equiv_pos_as_xyz
'x,y,z'
'-x,-y,-z'
'-x,y,-z'
'x,-y,z'
'x+1/2,y+1/2,z'
'-x+1/2,-y+1/2,-z'
'-x+1/2,y+1/2,-z'
'x+1/2,-y+1/2,z'
loop_
_atom_site_label
_atom_site_fract_x
_atom_site_fract_y
_atom_site_fract_z
Pr1 0.2482 0.0000 0.3099
Hg1 0.0000 0.2499 0.0000
Bi1 0.2483 0.5000 0.3226
```

Which of them is most stable, and which least? Most stable: two; least stable: one.

one.
PrHg2Bi2 | PBE | optimized geometry

```
data_PrHg2Bi2
_cell_length_a 4.7008
_cell_length_b 26.2157
_cell_length_c 4.7003
_cell_angle_alpha 90.00
_cell_angle_beta 90.00
_cell_angle_gamma 90.00
_symmetry_space_group_name_H-M 'C m c m'
_symmetry_Int_Tables_number 63
_symmetry_space_group_name_Hall '-C 2c 2'
loop_
_atom_site_label
_atom_site_fract_x
_atom_site_fract_y
_atom_site_fract_z
Pr1 0.0000 0.1453 0.2500
Hg1 0.0000 0.0428 0.7500
Hg2 0.0000 0.4554 0.7500
Bi1 0.0000 0.2498 0.7500
Bi2 0.0000 0.3601 0.2500
```

two.
PrHg2Bi2 | PBE | optimized geometry

```
data_PrHg2Bi2
_cell_length_a 5.4026
_cell_length_b 5.4026
_cell_length_c 13.0463
_cell_angle_alpha 90.00
_cell_angle_beta 90.00
_cell_angle_gamma 120.00
_symmetry_space_group_name_H-M 'P 63/m m c'
_symmetry_Int_Tables_number 194
_symmetry_space_group_name_Hall '-P 6c 2c'
loop_
_atom_site_label
_atom_site_fract_x
_atom_site_fract_y
_atom_site_fract_z
Pr1 0.0000 0.0000 0.2500
Hg1 0.0000 0.0000 0.0000
Hg2 0.3333 0.6667 0.2500
Bi1 0.3333 0.6667 0.6278
```

Which of them is most stable, and which least? Most stable: one; least stable: two.

one.
PrTlHgBi | PBE | optimized geometry

```
data_PrTlHgBi
_cell_length_a 7.8675
_cell_length_b 7.8675
_cell_length_c 7.8675
_cell_angle_alpha 90.00
_cell_angle_beta 90.00
_cell_angle_gamma 90.00
_symmetry_space_group_name_H-M 'F -4 3 m'
_symmetry_Int_Tables_number 216
_symmetry_space_group_name_Hall 'F -4 2 3'
loop_
_atom_site_label
_atom_site_fract_x
_atom_site_fract_y
_atom_site_fract_z
Pr1 0.0000 0.0000 0.0000
Tl1 0.0000 0.0000 0.5000
Hg1 0.2500 0.2500 0.2500
Bi1 0.2500 0.2500 0.7500
```

two.
PrTlHgBi | PBE | optimized geometry

```
data_PrTlHgBi
_cell_length_a 4.6497
_cell_length_b 4.8354
_cell_length_c 5.1643
_cell_angle_alpha 90.00
_cell_angle_beta 90.00
_cell_angle_gamma 90.00
_symmetry_space_group_name_H-M 'P m m m'
_symmetry_Int_Tables_number 47
loop_
_symmetry_equiv_pos_as_xyz
'x,y,z'
'-x,-y,-z'
'-x,-y,z'
'x,y,-z'
'x,-y,-z'
'-x,y,z'
'-x,y,-z'
'x,-y,z'
loop_
_atom_site_label
_atom_site_fract_x
_atom_site_fract_y
_atom_site_fract_z
Pr1 0.0000 0.0000 0.0000
Tl1 0.0000 0.5000 0.5000
Hg1 0.5000 0.0000 0.5000
Bi1 0.5000 0.5000 0.0000
```

Which of them is most stable, and which least? Most stable: two; least stable: one.